Computed, not measured: a geometry-optimized NbTcI3 structure at the PBE-GGA level of DFT.

Its volume is 37.33 A^3/atom. The formation energy without anion corrections comes out at 1.035 eV/atom. The density of states at the Fermi level comes out at 2.231 states/eV/atom. The value obtained for the calculated density is 5.086 Mg/m³.

Lattice parameters (Å, degrees): 5.7148 5.7148 5.7148 90.00 90.00 90.00
Last column: nearest neighbours and their distance in Å.
Atoms (fractional coordinates):
I (0.0000, 0.5000, 0.0000)  2 Nb 2.86
I (0.0000, 0.0000, 0.5000)  2 Nb 2.86
I (0.5000, 0.0000, 0.0000)  2 Nb 2.86
Nb (0.0000, 0.0000, 0.0000)  6 I 2.86
Tc (0.5000, 0.5000, 0.5000)  12 I 4.04



Computed, not measured: a geometry-optimized Li2TaSi structure at the PBE-GGA level of DFT.

Its volume is 15.10 A^3/atom. The formation energy without anion corrections comes out at -0.042 eV/atom. The density of states at the Fermi level comes out at 0.490 states/eV/atom. The value obtained for the calculated density is 6.129 Mg/m³.

Lattice parameters (Å, degrees): 3.6540 3.6540 4.5231 90.00 90.00 90.00
Last column: nearest neighbours and their distance in Å.
Atoms (fractional coordinates):
Li (0.0000, 0.0000, 0.0000)  4 Li 2.58
Li (0.5000, 0.5000, 0.0000)  4 Li 2.58
Si (0.5000, 0.0000, 0.5000)  4 Ta 2.58
Ta (0.0000, 0.5000, 0.5000)  4 Si 2.58



Computed, not measured: a geometry-optimized YZr2Si4 structure at the PBE-GGA level of DFT.

Its volume is 24.63 A^3/atom. The formation energy without anion corrections comes out at 0.389 eV/atom. The density of states at the Fermi level comes out at 0.477 states/eV/atom. The value obtained for the calculated density is 3.695 Mg/m³.

Lattice parameters (Å, degrees): 5.0130 5.0130 7.7229 71.06 71.06 90.00
Last column: nearest neighbours and their distance in Å.
Atoms (fractional coordinates):
Y (0.0000, 0.0000, 0.0000)  6 Si 2.51-2.78
Si (0.7977, 0.7977, 0.4046)  1 Zr 2.66, 1 Y 2.78
Si (0.2023, 0.2023, 0.5954)  1 Zr 2.66, 1 Y 2.78
Si (0.0000, 0.5000, 0.0000)  2 Y 2.51
Si (0.5000, 0.0000, 0.0000)  2 Y 2.51
Zr (0.6039, 0.6039, 0.7922)  5 Si 2.66-2.88, 1 Zr 2.85
Zr (0.3961, 0.3961, 0.2078)  5 Si 2.66-2.88, 1 Zr 2.85



Computed, not measured: a geometry-optimized Sb2IrAu structure at the PBE-GGA level of DFT.

Its volume is 24.00 A^3/atom. The formation energy without anion corrections comes out at 0.026 eV/atom. The density of states at the Fermi level comes out at 0.641 states/eV/atom. The value obtained for the calculated density is 10.943 Mg/m³. For the relative energy among the computed polymorphs, the calculation gives 34 meV per atom.

Lattice parameters (Å, degrees): 5.1316 4.8469 4.8461 52.80 90.00 90.00
Last column: nearest neighbours and their distance in Å.
Atoms (fractional coordinates):
Au (0.0000, 0.5371, 0.5374)  5 Sb 2.65-2.83
Ir (0.5000, 0.7202, 0.7202)  5 Sb 2.66-2.78
Sb (0.0000, 0.8422, 0.8420)  3 Au 2.65-2.74, 2 Ir 2.78
Sb (0.5000, 0.4005, 0.4004)  3 Ir 2.66-2.78, 2 Au 2.83



Computed, not measured: a geometry-optimized CaNb3I structure at the PBE-GGA level of DFT.

Its volume is 24.48 A^3/atom. The formation energy without anion corrections comes out at 2.318 eV/atom. The density of states at the Fermi level comes out at 2.571 states/eV/atom. The value obtained for the calculated density is 6.046 Mg/m³. For the relative energy among the computed polymorphs, the calculation gives 1000 meV per atom.

Lattice parameters (Å, degrees): 4.9653 4.9653 4.9653 90.00 90.00 90.00
Last column: nearest neighbours and their distance in Å.
Atoms (fractional coordinates):
I (0.5000, 0.5000, 0.5000)  12 Nb 3.51
Nb (0.0000, 0.5000, 0.0000)  2 Ca 2.48
Nb (0.0000, 0.0000, 0.5000)  2 Ca 2.48
Nb (0.5000, 0.0000, 0.0000)  2 Ca 2.48
Ca (0.0000, 0.0000, 0.0000)  6 Nb 2.48



Computed, not measured: a geometry-optimized PrSm10Th4 structure at the PBE-GGA level of DFT.

Its volume is 34.76 A^3/atom. The density of states at the Fermi level comes out at 1.508 states/eV/atom. The value obtained for the calculated density is 8.194 Mg/m³. As for the energy of formation from the pure elements: 0.350 eV/atom.

Lattice parameters (Å, degrees): 10.8886 8.8045 8.8045 67.52 51.80 51.80
Last column: nearest neighbours and their distance in Å.
Atoms (fractional coordinates):
Pr (0.0000, 0.0000, 0.0000)  4 Th 3.34
Sm (0.2500, 0.5000, 0.5000)  4 Th 3.21, 4 Sm 3.22
Sm (0.5382, 0.3293, 0.9065)  5 Sm 3.22-3.40
Sm (0.1325, 0.0935, 0.3293)  5 Sm 3.22-3.40
Sm (0.5553, 0.9065, 0.6707)  5 Sm 3.22-3.40
Sm (0.7740, 0.6707, 0.0935)  5 Sm 3.22-3.40
Sm (0.4618, 0.6707, 0.0935)  5 Sm 3.22-3.40
Sm (0.7500, 0.5000, 0.5000)  4 Th 3.21, 4 Sm 3.22
Sm (0.2260, 0.3293, 0.9065)  5 Sm 3.22-3.40
Sm (0.4447, 0.0935, 0.3293)  5 Sm 3.22-3.40
Sm (0.8675, 0.9065, 0.6707)  5 Sm 3.22-3.40
Th (0.3361, 0.7243, 0.6036)  2 Sm 3.21, 1 Pr 3.34, 1 Th 3.42
Th (0.9396, 0.3964, 0.7243)  2 Sm 3.21, 1 Pr 3.34, 1 Th 3.42
Th (0.0604, 0.6036, 0.2757)  2 Sm 3.21, 1 Pr 3.34, 1 Th 3.42
Th (0.6639, 0.2757, 0.3964)  2 Sm 3.21, 1 Pr 3.34, 1 Th 3.42



Computed, not measured: a geometry-optimized La5Pm2Nd5 structure at the PBE-GGA level of DFT.

Its volume is 35.89 A^3/atom. The density of states at the Fermi level comes out at 1.899 states/eV/atom. The value obtained for the calculated density is 6.577 Mg/m³. As for the energy of formation from the pure elements: 0.016 eV/atom.

Lattice parameters (Å, degrees): 5.2436 11.0817 8.2915 98.65 71.57 76.31
Last column: nearest neighbours and their distance in Å.
Atoms (fractional coordinates):
La (0.6665, 0.2509, 0.4160)  2 Pm 3.69-3.70, 7 Nd 3.69-3.71, 3 La 3.70-3.73
La (0.9982, 0.2511, 0.7525)  3 Pm 3.68-3.69, 6 Nd 3.69-3.71, 3 La 3.70-3.73
La (0.0018, 0.7489, 0.2475)  3 Pm 3.68-3.69, 6 Nd 3.69-3.71, 3 La 3.70-3.73
La (0.3335, 0.7491, 0.5840)  2 Pm 3.69-3.70, 7 Nd 3.69-3.71, 3 La 3.70-3.73
La (0.0000, 0.0000, 0.0000)  4 La 3.70, 8 Nd 3.71-3.72
Pm (0.3332, 0.5000, 0.8336)  5 La 3.68-3.70, 5 Nd 3.68-3.71, 2 Pm 3.70
Pm (0.6668, 0.5000, 0.1664)  5 La 3.68-3.70, 5 Nd 3.68-3.71, 2 Pm 3.70
Nd (0.0000, 0.5000, 0.5000)  2 Nd 3.68, 6 La 3.69-3.70, 4 Pm 3.71
Nd (0.6679, 0.7476, 0.9166)  3 Pm 3.68, 3 Nd 3.68-3.73, 6 La 3.69-3.72
Nd (0.3328, 0.0002, 0.3341)  4 Nd 3.70-3.73, 8 La 3.71
Nd (0.6672, 0.9998, 0.6659)  4 Nd 3.70-3.73, 8 La 3.71
Nd (0.3321, 0.2524, 0.0834)  3 Pm 3.68, 3 Nd 3.68-3.73, 6 La 3.69-3.72



Computed, not measured: a geometry-optimized Sc3Nb structure at the PBE-GGA level of DFT.

Its volume is 22.12 A^3/atom. The density of states at the Fermi level comes out at 1.462 states/eV/atom. The value obtained for the calculated density is 4.276 Mg/m³. As for the energy of formation from the pure elements: 0.093 eV/atom.

Lattice parameters (Å, degrees): 3.1677 5.5628 5.9537 117.85 105.43 90.00
Last column: nearest neighbours and their distance in Å.
Atoms (fractional coordinates):
Sc (0.2559, 0.5878, 0.5117)  3 Nb 3.07-3.15, 9 Sc 3.07-3.20
Sc (0.5000, 0.4987, 0.0000)  8 Sc 3.07-3.17, 4 Nb 3.17-3.23
Sc (0.7441, 0.0760, 0.4883)  3 Nb 3.07-3.15, 9 Sc 3.07-3.20
Nb (0.0000, 0.0041, 0.0000)  10 Sc 3.07-3.23, 2 Nb 3.17



Computed, not measured: a geometry-optimized Tm4Te2RhSe structure at the PBE-GGA level of DFT.

Its volume is 26.24 A^3/atom. The formation energy without anion corrections comes out at -1.260 eV/atom. The density of states at the Fermi level comes out at 0.626 states/eV/atom. The value obtained for the calculated density is 8.802 Mg/m³.

Lattice parameters (Å, degrees): 4.0737 7.3548 7.3796 108.29 90.00 90.00
Last column: nearest neighbours and their distance in Å.
Atoms (fractional coordinates):
Tm (0.5000, 0.2556, 0.2160)  1 Rh 2.75, 2 Se 2.89, 2 Te 3.07
Tm (0.5000, 0.7444, 0.7840)  1 Rh 2.75, 2 Se 2.89, 2 Te 3.07
Tm (0.0000, 0.2826, 0.7958)  2 Rh 2.73, 1 Se 2.93
Tm (0.0000, 0.7174, 0.2042)  2 Rh 2.73, 1 Se 2.93
Te (0.5000, 0.0000, 0.5000)  6 Tm 3.22-3.23
Te (0.0000, 0.5000, 0.5000)  6 Tm 3.07-3.08
Rh (0.5000, 0.5000, 0.0000)  6 Tm 2.73-2.75
Se (0.0000, 0.0000, 0.0000)  6 Tm 2.89-2.93



Computed, not measured: a geometry-optimized RbBa2USe5 structure at the PBE-GGA level of DFT.

Its volume is 37.11 A^3/atom. The formation energy without anion corrections comes out at -1.570 eV/atom. The density of states at the Fermi level comes out at 0.280 states/eV/atom. The value obtained for the calculated density is 4.937 Mg/m³.

Lattice parameters (Å, degrees): 5.3977 7.9972 9.1181 116.01 107.22 90.00
Last column: nearest neighbours and their distance in Å.
Atoms (fractional coordinates):
Rb (0.0000, 0.5000, 0.0000)  10 Se 3.99-4.00
Ba (0.2110, 0.2110, 0.4219)  7 Se 3.24-3.51
Ba (0.7890, 0.7890, 0.5781)  7 Se 3.24-3.51
U (0.5000, 0.0000, 0.0000)  6 Se 2.70-2.76
Se (0.6310, 0.8975, 0.2619)  1 U 2.76
Se (0.3690, 0.1025, 0.7381)  1 U 2.76
Se (0.3690, 0.6355, 0.7381)  1 U 2.76
Se (0.6310, 0.3645, 0.2619)  1 U 2.76
Se (0.0000, 0.0000, 0.0000)  2 U 2.70